# PBE with a Hubbard U HoCuW2O8, relaxed
data_HoCuW2O8
_cell_length_a 5.083
_cell_length_b 6.008
_cell_length_c 11.004
_cell_angle_alpha 90.00
_cell_angle_beta 114.71
_cell_angle_gamma 90.00
_space_group_name_H-M_alt 'P 1 2/c 1'
_space_group_IT_number 13
_space_group_name_Hall '-P 2yc'
loop_
_atom_site_label
_atom_site_type_symbol
_atom_site_fract_x
_atom_site_fract_y
_atom_site_fract_z
Ho1 Ho 0.000 0.163 0.250
Cu1 Cu 0.500 0.216 0.750
W1 W 0.238 0.332 0.989
O1 O 0.162 0.410 0.610
O2 O 0.218 0.135 0.112
O3 O 0.269 0.142 0.863
O4 O 0.339 0.385 0.403
# - VASP energy (eV/atom) = -7.367